Here is a relaxed structure of LiTmSc from the Open Quantum Materials Database. Energies are from GGA-PBE.

For the calculated total energy, the calculation gives -3.6658 eV/atom.

Cell: 6.8336 6.8336 6.8336 Å, 90.00 90.00 90.00°
With the nearest neighbours (Å) after each atom.
Fractional positions:
Li 0.0000 0.0000 0.0000  4 Sc 2.96, 4 Tm 2.96
Li 0.0000 0.5000 0.5000  4 Sc 2.96, 4 Tm 2.96
Li 0.5000 0.0000 0.5000  4 Sc 2.96, 4 Tm 2.96
Li 0.5000 0.5000 0.0000  4 Sc 2.96, 4 Tm 2.96
Tm 0.2500 0.2500 0.2500  4 Li 2.96
Tm 0.2500 0.7500 0.7500  4 Li 2.96
Tm 0.7500 0.2500 0.7500  4 Li 2.96
Tm 0.7500 0.7500 0.2500  4 Li 2.96
Sc 0.2500 0.2500 0.7500  4 Li 2.96
Sc 0.2500 0.7500 0.2500  4 Li 2.96
Sc 0.7500 0.2500 0.2500  4 Li 2.96
Sc 0.7500 0.7500 0.7500  4 Li 2.96